Entry from Alexandria via LeMat-Bulk: a relaxed structure of Pr3SmTm7 (PBE-GGA).

Density: 7.83 Mg/m³
Calculated volume: 33.83 A^3/atom
Formation enthalpy at 0 K: 17.1 kJ per mole of atoms
DOS at the Fermi energy: 16.32 states/eV per cell

a = 7.0325 Å, b = 7.0325 Å, c = 8.6883 Å
α = 90.00°, β = 90.00°, γ = 120.00°
Space group P3m1 (No. 156)
Unique sites:
Pr 0.0006 0.5003 0.0000 [3 per cell]
Sm 0.6667 0.3333 0.6596 [1 per cell]
Tm 0.1673 0.3346 0.6588 [3 per cell]
Tm 0.3333 0.6667 0.3394 [1 per cell]
Tm 0.3339 0.1669 0.3378 [3 per cell]